Material: Cs2NaIn2F6
Method: DFT, PBE
State: relaxed

abc: 6.4324 6.4324 7.9262
angles: 102.41 102.41 60.05
Last column: nearest neighbours and their distance in Å.
Fractional positions:
Cs  0.1960  0.1960  0.1607  9 F 3.09-3.23
Cs  0.8040  0.8040  0.8393  9 F 3.09-3.23
Na  0.5000  0.5000  0.0000  6 F 2.39-2.40
In  0.1062  0.1062  0.6602  3 F 2.14-2.15
In  0.8938  0.8938  0.3398  3 F 2.14-2.15
F  0.1750  0.7088  0.1763  1 In 2.14
F  0.2913  0.2913  0.8268  1 In 2.15, 1 Na 2.39
F  0.2912  0.8250  0.8237  1 In 2.14
F  0.7088  0.1750  0.1763  1 In 2.14
F  0.7087  0.7087  0.1732  1 In 2.15, 1 Na 2.39
F  0.8250  0.2912  0.8237  1 In 2.14

Output
- Space-group type: No. 12
- V: 25.02 A^3/atom
- Spin magnetization: 1.0 μB per formula unit
- E_tot: -45.76 eV per cell
- N(E_F): 0.08 states/eV/atom
- Formation energy without anion corrections: -2.366 eV per atom